Entry from Alexandria via LeMat-Bulk: BaMgScSn2 after structural relaxation (GGA-PBE).

Unit cell a=4.8699 b=4.8699 c=12.7838 alpha=90.00 beta=90.00 gamma=90.00
Space group I-4m2 (No. 119)
Symmetry-distinct sites (fractional):
Ba1 0.0000 0.0000 0.0000 (multiplicity 2)
Mg1 0.0000 0.5000 0.7500 (multiplicity 2)
Sc1 0.0000 0.5000 0.2500 (multiplicity 2)
Sn1 0.0000 0.0000 0.3806 (multiplicity 4)

Calculated values
Total moment in μB per formula unit: 0.000
E_tot in eV/atom: -4.125
Formation enthalpy at 0 K in meV per atom: -554